## In2AgAuS4 (PBE-GGA)

Data for a relaxed structure of In2AgAuS4.

a = 7.2589 Å, b = 7.2584 Å, c = 5.7732 Å
α = 66.57°, β = 66.56°, γ = 46.87°
Sites, in units of the cell vectors:
1 In 0.0000 0.0000 0.5000
2 In 0.5000 0.5000 0.0000
3 Ag 0.2499 0.2499 0.7501
4 Au 0.7503 0.7503 0.2497
5 S 0.1243 0.6290 0.3710
6 S 0.3758 0.8707 0.6242
7 S 0.6290 0.1243 0.8757
8 S 0.8707 0.3758 0.1293

Results
- DOS at the Fermi energy (states/eV/atom) = 0.14
- SG = Fmm2, No. 42
- formation energy from raw total energies (meV/atom) = -345
- total DFT energy (no corrections) (eV per atom) = -3.859